The following is a DFT calculation (PBE) of a relaxed structure of PrSiAs3Ir6.

abc: 7.2048 7.2048 3.9569
angles: 90.00 90.00 120.00
Positions (direct):
Pr (0.0000, 0.0000, 0.0000)
Si (0.3333, 0.6667, 0.0000)
As (0.3839, 0.1920, 0.5000)
As (0.8080, 0.1920, 0.5000)
As (0.8080, 0.6161, 0.5000)
Ir (0.2023, 0.4047, 0.5000)
Ir (0.2023, 0.7977, 0.5000)
Ir (0.5290, 0.0580, 0.0000)
Ir (0.5290, 0.4710, 0.0000)
Ir (0.5953, 0.7977, 0.5000)
Ir (0.9420, 0.4710, 0.0000)

Properties
- DFT total energy (eV per atom) = -7.530
- spin magnetization (μB per formula unit) = 0.01